# KLuInS3

Crystalline KLuInS3 at its relaxed geometry (PBE, the Open Quantum Materials Database).

Properties
Calculated total energy = -28.0 eV/f.u.
Space-group type = Cmcm (63)

```
KLuInS3
1.0
1.4512 1.8185 7.7572
-2.5018 -5.0798 -5.7900
10.2556 -3.9083 -1.0024
In S K Lu
2 6 2 2
direct
0.3958 0.6042 0.7500
0.6042 0.3958 0.2500
0.3840 0.6160 0.5110
0.0098 0.9902 0.7500
0.9902 0.0098 0.2500
0.6160 0.3840 0.0110
0.3840 0.6160 0.9890
0.6160 0.3840 0.4890
0.6897 0.3103 0.7500
0.3103 0.6897 0.2500
0.0000 0.0000 0.0000
0.0000 0.0000 0.5000
```



# KInMo

Crystalline KInMo at its relaxed geometry (PBE, the Open Quantum Materials Database).

Properties
Calculated total energy = -10.5 eV/f.u.
Space-group type = F-43m (216)

```
KInMo
1.0
4.0938 -2.4678 1.8982
-0.3747 -4.9520 1.3378
2.3576 -3.6076 -2.8070
K Mo In
1 1 1
direct
0.7500 0.7500 0.7500
0.0000 0.0000 0.0000
0.2500 0.2500 0.2500
```



# KNbIn

Crystalline KNbIn at its relaxed geometry (PBE, the Open Quantum Materials Database).

Properties
Calculated total energy = -10.0 eV/f.u.
Space-group type = F-43m (216)

```
KNbIn
1.0
0.0000 3.6937 3.6937
3.6937 0.0000 3.6937
3.6937 3.6937 0.0000
Nb In K
1 1 1
direct
0.7500 0.7500 0.7500
0.0000 0.0000 0.0000
0.2500 0.2500 0.2500
```



| no. | magnetic moment (μB per cell) | calculated volume (Å³ per cell) |
| --- | --- | --- |
| 1 | 1.1 | 342.0 |
| 2 | 3.4 | 96.2 |
| 3 | 3.1 | 100.8 |